Hg4PSe6 after structural relaxation, computed with PBE.

Calculated values
Uncorrected formation energy, meV/atom: -107

Cell and atoms, written as CIF:
```
data_Hg4PSe6
_chemical_formula_sum 'Hg16 P4 Se24'
_cell_length_a 13.2828
_cell_length_b 7.6399
_cell_length_c 13.1919
_cell_angle_alpha 90.00
_cell_angle_beta 110.23
_cell_angle_gamma 90.00
_symmetry_space_group_name_H-M 'C 1 c 1'
_symmetry_Int_Tables_number 9
loop_
_symmetry_equiv_pos_as_xyz
'x,y,z'
'x,-y,z+1/2'
'x+1/2,y+1/2,z'
'x+1/2,-y+1/2,z+1/2'
loop_
_atom_site_label
_atom_site_type_symbol
_atom_site_fract_x
_atom_site_fract_y
_atom_site_fract_z
Hg1 Hg 0.0000 0.0556 0.0000
Hg2 Hg 0.1389 0.3105 0.3547
Hg3 Hg 0.3226 0.3728 0.7009
Hg4 Hg 0.3420 0.0983 0.0090
P1 P 0.0694 0.2333 0.7596
Se1 Se 0.1172 0.4734 0.6796
Se2 Se 0.1393 0.2717 0.9439
Se3 Se 0.1411 0.0060 0.2109
Se4 Se 0.3297 0.2553 0.5118
Se5 Se 0.3890 0.2559 0.2126
Se6 Se 0.4520 0.2546 0.8908
```

***

Ca2InBi3 after structural relaxation, computed with PBE.

Calculated values
E_form, eV/f.u.: -2.5
Offset from the most stable computed form, meV per atom: 54

Cell and atoms, written as CIF:
```
data_Ca2InBi3
_chemical_formula_sum 'Ca8 In4 Bi12'
_cell_length_a 9.2421
_cell_length_b 8.7993
_cell_length_c 10.0410
_cell_angle_alpha 90.00
_cell_angle_beta 107.90
_cell_angle_gamma 90.00
_symmetry_space_group_name_H-M 'C 1 2/c 1'
_symmetry_Int_Tables_number 15
loop_
_symmetry_equiv_pos_as_xyz
'x,y,z'
'-x,-y,-z'
'-x,y,-z+1/2'
'x,-y,z+1/2'
'x+1/2,y+1/2,z'
'-x+1/2,-y+1/2,-z'
'-x+1/2,y+1/2,-z+1/2'
'x+1/2,-y+1/2,z+1/2'
loop_
_atom_site_label
_atom_site_type_symbol
_atom_site_fract_x
_atom_site_fract_y
_atom_site_fract_z
Ca1 Ca 0.1071 0.1896 0.1062
In1 In 0.0000 0.4993 0.7500
Bi1 Bi 0.0000 0.1448 0.7500
Bi2 Bi 0.2343 0.4373 0.5620
```

***

Ho4ErHg after structural relaxation, computed with PBE.

Calculated values
E_form, eV/f.u.: -0.9
Offset from the most stable computed form, meV per atom: 0

Cell and atoms, written as CIF:
```
data_Ho4ErHg
_chemical_formula_sum 'Ho4 Er1 Hg1'
_cell_length_a 3.5429
_cell_length_b 3.5429
_cell_length_c 13.9644
_cell_angle_alpha 90.00
_cell_angle_beta 90.00
_cell_angle_gamma 90.00
_symmetry_space_group_name_H-M 'P 4/m m m'
_symmetry_Int_Tables_number 123
_symmetry_space_group_name_Hall '-P 4 2'
loop_
_atom_site_label
_atom_site_type_symbol
_atom_site_fract_x
_atom_site_fract_y
_atom_site_fract_z
Ho1 Ho 0.0000 0.0000 0.1447
Ho2 Ho 0.5000 0.5000 0.3234
Er1 Er 0.0000 0.0000 0.5000
Hg1 Hg 0.5000 0.5000 0.0000
```

***

Ba2BiSb3Rh4 after structural relaxation, computed with PBE.

Calculated values
Uncorrected formation energy, meV/atom: -638

Cell and atoms, written as CIF:
```
data_Ba2BiSb3Rh4
_chemical_formula_sum 'Ba2 Bi1 Sb3 Rh4'
_cell_length_a 4.7236
_cell_length_b 4.7236
_cell_length_c 10.8147
_cell_angle_alpha 90.00
_cell_angle_beta 90.00
_cell_angle_gamma 90.00
_symmetry_space_group_name_H-M 'P -4 m 2'
_symmetry_Int_Tables_number 115
loop_
_symmetry_equiv_pos_as_xyz
'x,y,z'
'y,-x,-z'
'-x,-y,z'
'-y,x,-z'
'-x,y,z'
'-y,-x,-z'
'x,-y,z'
'y,x,-z'
loop_
_atom_site_label
_atom_site_type_symbol
_atom_site_fract_x
_atom_site_fract_y
_atom_site_fract_z
Ba1 Ba 0.0000 0.5000 0.2468
Bi1 Bi 0.0000 0.0000 0.5000
Sb1 Sb 0.0000 0.5000 0.8797
Sb2 Sb 0.5000 0.5000 0.5000
Rh1 Rh 0.0000 0.0000 0.0000
Rh2 Rh 0.0000 0.5000 0.6300
Rh3 Rh 0.5000 0.5000 0.0000
```